Here is an optimized crystal structure of Na2GaMoO4 from the Alexandria database. Energies are from GGA+U.

abc: 5.277 5.277 5.277
angles: 113.21 113.21 102.23
Sites, in units of the cell vectors:
Na1 0.000 0.000 0.000
Na2 0.750 0.250 0.500
Ga1 0.500 0.500 0.000
Mo1 0.250 0.750 0.500
O1 0.173 0.538 0.047
O2 0.462 0.509 0.635
O3 0.491 0.125 0.953
O4 0.875 0.827 0.365

Summary:
- electronic total energy (eV per atom) = -5.571
- magnetic moment (Bohr magnetons per cell) = 0.95